Here is Th2AlInCo after structural relaxation from the Alexandria database. Energies are from GGA-PBE.

Cell: 4.278 7.618 7.720 Å, 107.88 90.00 90.00°
Sites, in units of the cell vectors:
Al 0.750 0.416 0.308
Al 0.250 0.584 0.692
In 0.250 0.658 0.346
In 0.750 0.342 0.654
Th 0.250 0.102 0.331
Th 0.750 0.898 0.669
Th 0.750 0.721 0.036
Th 0.250 0.279 0.964
Co 0.750 0.103 0.086
Co 0.250 0.897 0.914

Output
* electronic total energy: -6.02 eV per atom
* density: 9.2 Mg/m³
* magnetic moment: 0.0 μB per formula unit
* V: 239.4 Å³ per cell
* DFT formation energy: -0.333 eV per atom

Here is Tm3Al3In2Co after structural relaxation from the Alexandria database. Energies are from GGA-PBE.

Cell: 4.317 7.099 7.099 Å, 120.00 90.00 90.00°
Sites, in units of the cell vectors:
Tm 0.000 0.000 0.387
Tm 0.000 0.387 0.000
Tm 0.000 0.613 0.613
Co 0.000 0.000 0.000
In 0.500 0.667 0.333
In 0.500 0.333 0.667
Al 0.500 0.220 0.220
Al 0.500 0.780 0.000
Al 0.500 0.000 0.780

Output
* electronic total energy: -4.61 eV per atom
* density: 7.7 Mg/m³
* magnetic moment: 0.0 μB per formula unit
* V: 188.4 Å³ per cell
* DFT formation energy: -0.470 eV per atom

Here is YAlIn2Co after structural relaxation from the Alexandria database. Energies are from GGA-PBE.

Cell: 4.894 4.554 4.894 Å, 90.00 90.00 90.00°
Sites, in units of the cell vectors:
Y 0.500 0.500 0.500
Co 0.000 0.000 0.000
In 0.500 0.000 0.000
In 0.000 0.000 0.500
Al 0.000 0.500 0.000

Output
* electronic total energy: -4.70 eV per atom
* density: 6.2 Mg/m³
* magnetic moment: 0.0 μB per formula unit
* V: 109.1 Å³ per cell
* DFT formation energy: -0.143 eV per atom

Here is Al4CoIr after structural relaxation from the Alexandria database. Energies are from GGA-PBE.

Cell: 4.928 4.928 4.928 Å, 60.00 60.00 60.00°
Sites, in units of the cell vectors:
Al 0.375 0.875 0.375
Al 0.375 0.375 0.875
Al 0.875 0.375 0.375
Al 0.375 0.375 0.375
Ir 0.000 0.000 0.000
Co 0.750 0.750 0.750

Output
* electronic total energy: -5.09 eV per atom
* density: 7.0 Mg/m³
* magnetic moment: 0.6 μB per formula unit
* V: 84.6 Å³ per cell
* DFT formation energy: 0.068 eV per atom

Here is AlCoIr2 after structural relaxation from the Alexandria database. Energies are from GGA-PBE.

Cell: 2.714 2.714 8.580 Å, 90.00 90.00 118.59°
Sites, in units of the cell vectors:
Co 0.500 0.500 0.739
Al 0.000 0.000 0.509
Ir 0.000 0.000 0.985
Ir 0.500 0.500 0.266

Output
* electronic total energy: -7.13 eV per atom
* density: 14.1 Mg/m³
* magnetic moment: 1.7 μB per formula unit
* V: 55.5 Å³ per cell
* DFT formation energy: 0.014 eV per atom

Here is AlCoIr2 after structural relaxation from the Alexandria database. Energies are from GGA-PBE.

Cell: 3.999 2.723 5.093 Å, 74.48 90.00 90.00°
Sites, in units of the cell vectors:
Al 0.000 0.693 0.489
Co 0.500 0.554 0.768
Ir 0.500 0.296 0.282
Ir 0.000 0.957 0.961

Output
* electronic total energy: -7.42 eV per atom
* density: 14.6 Mg/m³
* magnetic moment: 1.2 μB per formula unit
* V: 53.4 Å³ per cell
* DFT formation energy: -0.276 eV per atom

Here is AlCo2Ir after structural relaxation from the Alexandria database. Energies are from GGA-PBE.

Cell: 3.760 3.640 3.640 Å, 90.00 90.00 90.00°
Sites, in units of the cell vectors:
Co 0.000 0.500 0.500
Co 0.000 0.000 0.000
Ir 0.500 0.500 0.000
Al 0.500 0.000 0.500

Output
* electronic total energy: -6.96 eV per atom
* density: 11.2 Mg/m³
* magnetic moment: 2.5 μB per formula unit
* V: 49.8 Å³ per cell
* DFT formation energy: -0.259 eV per atom

Here is AlCo2Ir after structural relaxation from the Alexandria database. Energies are from GGA-PBE.

Cell: 2.785 2.785 6.343 Å, 90.00 90.00 90.00°
Sites, in units of the cell vectors:
Ir 0.500 0.500 0.250
Al 0.500 0.500 0.750
Co 0.000 0.000 0.986
Co 0.000 0.000 0.514

Output
* electronic total energy: -6.91 eV per atom
* density: 11.4 Mg/m³
* magnetic moment: 2.7 μB per formula unit
* V: 49.2 Å³ per cell
* DFT formation energy: -0.210 eV per atom

Question: electronic total energy of number 6 (AlCoIr2)?
Answer: -7.42 eV per atom

Question: The lowest V belongs to which entry?
Answer: number 8